The following is a PBE calculation of SrLi2PrP2 after structural relaxation, from Alexandria.

a b c (Å): 4.271 4.271 8.042
angles (deg): 90.00 90.00 120.00
Element x y z (fractional)
1 Sr 0.000 0.000 0.000
2 Li 0.333 0.667 0.742
3 Li 0.667 0.333 0.258
4 Pr 0.000 0.000 0.500
5 P 0.333 0.667 0.261
6 P 0.667 0.333 0.739

Computed properties:
ΔH_f (0 K): -0.9735 eV/atom
Total moment: 0.00 μB/f.u.
Uncorrected energy: -0.3301 Ry/atom

---

The following is a PBE calculation of LiP2Pt after structural relaxation, from Alexandria.

a b c (Å): 2.884 2.884 7.592
angles (deg): 90.00 90.00 90.00
Element x y z (fractional)
1 Li 0.000 0.000 0.000
2 P 0.000 0.000 0.558
3 P 0.500 0.500 0.219
4 Pt 0.500 0.500 0.736

Computed properties:
ΔH_f (0 K): -0.0288 eV/atom
Total moment: 0.00 μB/f.u.
Uncorrected energy: -0.3471 Ry/atom

---

The following is a PBE calculation of LiPPt after structural relaxation, from Alexandria.

a b c (Å): 4.116 4.116 2.901
angles (deg): 90.00 90.00 120.00
Element x y z (fractional)
1 Li 0.000 0.000 0.000
2 P 0.667 0.333 0.500
3 Pt 0.333 0.667 0.500

Computed properties:
ΔH_f (0 K): -0.6244 eV/atom
Total moment: 0.00 μB/f.u.
Uncorrected energy: -0.3733 Ry/atom

---

The following is a PBE calculation of LiPPt2 after structural relaxation, from Alexandria.

a b c (Å): 2.772 3.937 5.438
angles (deg): 90.00 90.00 90.00
Element x y z (fractional)
1 Li 0.000 0.000 0.000
2 P 0.500 0.000 0.500
3 Pt 0.500 0.500 0.244
4 Pt 0.500 0.500 0.756

Computed properties:
ΔH_f (0 K): -0.4395 eV/atom
Total moment: 0.00 μB/f.u.
Uncorrected energy: -0.3889 Ry/atom